No. 1
Density functional theory data (PBE) for an optimized crystal structure of Na8TlPd2.

The structure belongs to space group C2/m (No. 12); the cell edges are 9.3671, 12.3569 and 5.3356 Å and the angles 90.00°, 107.75° and 90.00°. Symmetry generates all atoms from Na at (0.0000, 0.2489, 0.0000), Na at (0.1892, 0.3438, 0.6398), Na at (0.2136, 0.5000, 0.1852), Tl at (0.0000, 0.0000, 0.0000) and Pd at (0.0000, 0.1154, 0.5000).

As for the crystal system: monoclinic. Its formation energy is -0.026 eV per atom. The energy is -2.1450 eV per atom.

No. 2
Density functional theory data (PBE) for an optimized crystal structure of Rb2IrS3.

The structure belongs to space group C2/c (No. 15); the cell edges are 11.9182, 8.5756 and 6.8234 Å and the angles 90.00°, 97.81° and 90.00°. Symmetry generates all atoms from Rb at (0.1579, 0.1578, 0.1863), Ir at (0.0000, 0.4307, 0.7500), S at (0.0000, 0.1609, 0.7500) and S at (0.1184, 0.4494, 0.4982).

As for the crystal system: monoclinic. For the uncorrected formation energy, the calculation gives -675.9 meV/atom. The energy is -4.5390 eV per atom.

No. 3
Density functional theory data (PBE) for an optimized crystal structure of ZrPaBi4.

The structure belongs to space group C2/m (No. 12); the cell edges are 7.7201, 5.7250 and 8.6002 Å and the angles 90.00°, 90.11° and 90.00°. Symmetry generates all atoms from Zr at (0.0000, 0.0000, 0.0000), Pa at (0.0000, 0.5000, 0.5000), Bi at (0.1315, 0.0000, 0.3425) and Bi at (0.1330, 0.5000, 0.1348).

As for the crystal system: monoclinic. Its formation energy is 0.075 eV per atom. The energy is -5.5201 eV per atom.

No. 4
Density functional theory data (PBE) for an optimized crystal structure of ZnPb6.

The structure belongs to space group Im-3m (No. 229); the cell edges are 8.6292, 8.6292 and 8.6292 Å and the angles 90.00°, 90.00° and 90.00°. Symmetry generates all atoms from Zn at (0.0000, 0.0000, 0.0000) and Pb at (0.0000, 0.2500, 0.5000).

As for the crystal system: cubic. Its formation energy is 0.457 eV per atom. The energy is -2.9031 eV per atom.

No. 5
Density functional theory data (PBE) for an optimized crystal structure of Pa2AgPb.

The structure belongs to space group R-3m (No. 166, hexagonal axes); the cell edges are 3.1556, 3.1556 and 36.1937 Å and the angles 90.00°, 90.00° and 120.00°. Symmetry generates all atoms from Pa at (0.0000, 0.0000, 0.0864), Ag at (0.0000, 0.0000, 0.0000) and Pb at (0.0000, 0.0000, 0.5000).

As for the crystal system: trigonal. The value obtained for the distance to the lowest polymorph of the same formula is 0.276 eV/atom. Its formation energy is 0.397 eV per atom. The energy is -5.9904 eV per atom.

No. 6
Density functional theory data (PBE) for an optimized crystal structure of La7Dy2Ho3.

The structure belongs to space group P2/m (No. 10); the cell edges are 6.5314, 3.5768 and 17.7711 Å and the angles 90.00°, 95.59° and 90.00°. Symmetry generates all atoms from La at (0.0000, 0.0000, 0.0000), La at (0.2265, 0.5000, 0.1731), La at (0.2620, 0.5000, 0.4908), La at (0.2771, 0.0000, 0.8324), Dy at (0.0581, 0.5000, 0.6695), Ho at (0.4578, 0.0000, 0.3380) and Ho at (0.5000, 0.5000, 0.0000).

As for the crystal system: monoclinic. Its formation energy is 0.066 eV per atom. The energy is -4.7198 eV per atom.

No. 7
Density functional theory data (PBE) for an optimized crystal structure of Li2CoAg.

The structure belongs to space group Cmmm (No. 65); the cell edges are 3.0820, 4.3048 and 8.6385 Å and the angles 90.00°, 90.00° and 90.00°. Symmetry generates all atoms from Li at (0.0000, 0.0000, 0.2324), Co at (0.0000, 0.5000, 0.0000) and Ag at (0.0000, 0.5000, 0.5000).

As for the crystal system: orthorhombic. Its formation energy is 0.109 eV per atom. The energy is -3.3368 eV per atom.

No. 8
Density functional theory data (PBE) for an optimized crystal structure of CeMn9Fe3.

The structure belongs to space group C2/m (No. 12); the cell edges are 4.6582, 11.8127 and 6.3293 Å and the angles 90.00°, 110.89° and 90.00°. Symmetry generates all atoms from Ce at (0.0000, 0.0000, 0.0000), Mn at (0.0000, 0.5000, 0.5000), Mn at (0.1120, 0.3852, 0.2294), Mn at (0.1763, 0.1811, 0.3591), Fe at (0.0000, 0.0000, 0.5000) and Fe at (0.2500, 0.2500, 0.0000).

As for the crystal system: monoclinic. Its formation energy is 0.038 eV per atom. The energy is -8.7193 eV per atom.